## Pr2MnIn (PBE)

Data for a relaxed structure of Pr2MnIn.

Results
Calculated formation energy = -0.068 eV/atom
E = -5.44 eV/atom
Volume = 111 Å³/cell

a b c (Å): 3.746 3.746 7.919
angles (deg): 90.00 90.00 90.00
Space group P4/mmm (No. 123)
One atom of each set of equivalent atoms:
Pr: 0.000 0.000 0.232 x2
Mn: 0.500 0.500 0.000 x1
In: 0.500 0.500 0.500 x1

## Sc2SeCl2 (PBE)

Data for a relaxed structure of Sc2SeCl2.

Results
Uncorrected formation energy = -1296.5 meV per atom
E = -5.26 eV/atom
Volume = 212 Å³/cell

a b c (Å): 4.712 4.712 9.546
angles (deg): 90.00 90.00 90.00
Space group I4/mmm (No. 139)
One atom of each set of equivalent atoms:
Sc: 0.000 0.500 0.250 x4
Se: 0.000 0.000 0.000 x2
Cl: 0.000 0.000 0.347 x4

## Cd4W3 (PBE)

Data for a relaxed structure of Cd4W3.

Results
Calculated formation energy = 0.635 eV/atom
E = -5.44 eV/atom
Volume = 136 Å³/cell

a b c (Å): 5.3681 5.3681 5.4431
angles (deg): 90.00 90.00 120.00
Space group P6/mmm (No. 191)
One atom of each set of equivalent atoms:
Cd: 0.0000 0.0000 0.2487 x2
Cd: 0.3333 0.6667 0.5000 x2
W: 0.0000 0.5000 0.0000 x3

## Dy2ZnCu2 (PBE)

Data for a relaxed structure of Dy2ZnCu2.

Results
Calculated formation energy = -0.272 eV/atom
E = -4.01 eV/atom
Volume = 402 Å³/cell

a b c (Å): 10.392 4.327 10.160
angles (deg): 90.00 118.39 90.00
Space group C2/m (No. 12)
One atom of each set of equivalent atoms:
Dy: 0.015 0.000 0.336 x4
Dy: 0.195 0.000 0.112 x4
Zn: 0.227 0.500 0.351 x4
Cu: 0.018 0.500 0.887 x4
Cu: 0.136 0.500 0.564 x4

## Tb5DyThSc2 (PBE)

Data for a relaxed structure of Tb5DyThSc2.

Results
Calculated formation energy = 0.174 eV/atom
E = -5.14 eV/atom
Volume = 1128 Å³/cell

a b c (Å): 5.616 21.300 9.429
angles (deg): 90.00 90.00 90.00
Space group Cmc2_1 (No. 36)
One atom of each set of equivalent atoms:
Tb: 0.000 0.010 0.000 x4
Tb: 0.000 0.266 0.681 x4
Tb: 0.000 0.304 0.299 x4
Tb: 0.000 0.390 0.970 x4
Tb: 0.000 0.469 0.267 x4
Dy: 0.000 0.403 0.592 x4
Th: 0.000 0.184 0.990 x4
Sc: 0.000 0.113 0.690 x4
Sc: 0.000 0.134 0.305 x4

## Pm3Th2NpN6 (PBE)

Data for a relaxed structure of Pm3Th2NpN6.

Results
Uncorrected formation energy = -1441.1 meV per atom
E = -9.11 eV/atom
Volume = 397 Å³/cell

a b c (Å): 6.251 10.816 6.236
angles (deg): 90.00 109.57 90.00
Space group C2/m (No. 12)
One atom of each set of equivalent atoms:
Pm: 0.000 0.000 0.000 x2
Pm: 0.000 0.335 0.000 x4
Th: 0.000 0.167 0.500 x4
Np: 0.000 0.500 0.500 x2
N: 0.237 0.341 0.731 x8
N: 0.243 0.500 0.265 x4

## Sc4Ge2N (PBE)

Data for a relaxed structure of Sc4Ge2N.

Results
Uncorrected formation energy = -1092.9 meV per atom
E = -7.22 eV/atom
Volume = 259 Å³/cell

a b c (Å): 4.262 4.262 14.279
angles (deg): 90.00 90.00 90.00
Space group I4/mmm (No. 139)
One atom of each set of equivalent atoms:
Sc: 0.000 0.000 0.163 x4
Sc: 0.000 0.500 0.000 x4
Ge: 0.000 0.000 0.359 x4
N: 0.000 0.000 0.000 x2

## Pr2DyEr (PBE)

Data for a relaxed structure of Pr2DyEr.

Results
Calculated formation energy = 0.023 eV/atom
E = -4.66 eV/atom
Volume = 403 Å³/cell

a b c (Å): 3.6341 3.6341 35.2087
angles (deg): 90.00 90.00 120.00
Space group R3m (No. 160, hexagonal axes)
One atom of each set of equivalent atoms:
Pr: 0.0000 0.0000 0.0000 x3
Pr: 0.0000 0.0000 0.1668 x3
Dy: 0.0000 0.0000 0.4164 x3
Er: 0.0000 0.0000 0.5841 x3